VASP calculation (GGA-PBE) on a relaxed structure of UFe3Si.

As for the crystal system: orthorhombic. The symmetry is No. 63.

Cell: 4.0984 6.6099 6.6099 Å, 120.25 90.00 90.00°
With the nearest neighbours (Å) after each atom.
Element x y z (fractional)
Fe 0.0000 0.0000 0.0000  2 Fe 2.05
Fe 0.2500 0.8308 0.5224  1 Si 2.17, 1 Fe 2.33
Fe 0.7500 0.1692 0.4776  1 Si 2.17, 1 Fe 2.33
Fe 0.5000 0.0000 0.0000  2 Fe 2.05
Fe 0.7500 0.5224 0.8308  1 Si 2.17, 1 Fe 2.33
Fe 0.2500 0.4776 0.1692  1 Si 2.17, 1 Fe 2.33
Si 0.7500 0.8110 0.1890  4 Fe 2.17-2.40
Si 0.2500 0.1890 0.8110  4 Fe 2.17-2.40
U 0.2500 0.4250 0.5750  4 Fe 2.53, 2 U 2.67, 1 Si 2.71
U 0.7500 0.5750 0.4250  4 Fe 2.53, 2 U 2.67, 1 Si 2.71

***

VASP calculation (GGA-PBE) on a relaxed structure of UFe2Si.

As for the crystal system: tetragonal. The symmetry is No. 123.

Cell: 2.8177 2.8177 6.5895 Å, 90.00 90.00 90.00°
With the nearest neighbours (Å) after each atom.
Element x y z (fractional)
Si 0.5000 0.5000 0.0000  8 Fe 2.40
Fe 0.0000 0.0000 0.7969  4 Si 2.40, 1 Fe 2.68
Fe 0.0000 0.0000 0.2031  4 Si 2.40, 1 Fe 2.68
U 0.5000 0.5000 0.5000  8 Fe 2.79, 4 U 2.82

***

VASP calculation (GGA-PBE) on a relaxed structure of U3Fe2Si7.

As for the crystal system: orthorhombic. The symmetry is No. 65.

Cell: 12.3357 12.3357 4.0131 Å, 90.00 90.00 161.42°
With the nearest neighbours (Å) after each atom.
Element x y z (fractional)
Si 0.5860 0.4140 0.5000  2 Fe 2.24
Si 0.4140 0.5860 0.5000  2 Fe 2.24
Si 0.5000 0.5000 0.0000  4 U 2.83, 8 Si 2.90
Si 0.9135 0.0865 0.0000  2 Fe 2.25
Si 0.2219 0.7781 0.5000  1 Fe 2.27, 2 Si 2.41
Si 0.7781 0.2219 0.5000  1 Fe 2.27, 2 Si 2.41
Si 0.0865 0.9135 0.0000  2 Fe 2.25
Fe 0.8715 0.1285 0.5000  5 Si 2.24-2.27
Fe 0.1285 0.8715 0.5000  5 Si 2.24-2.27
U 0.6840 0.3160 0.0000  10 Si 2.97-3.12, 4 Fe 3.13
U 0.0000 0.0000 0.5000  12 Si 2.83-2.91, 2 Fe 3.13
U 0.3160 0.6840 0.0000  10 Si 2.97-3.12, 4 Fe 3.13

***

VASP calculation (GGA-PBE) on a relaxed structure of UFeSi.

As for the crystal system: monoclinic. The symmetry is No. 14.

Cell: 5.4133 5.8167 6.1699 Å, 90.00 85.12 90.00°
With the nearest neighbours (Å) after each atom.
Element x y z (fractional)
Fe 0.5040 0.6179 0.1868  3 Si 2.27-2.39, 1 U 2.29
Fe 0.4960 0.3821 0.8132  3 Si 2.27-2.39, 1 U 2.29
Fe 0.0040 0.8821 0.6868  3 Si 2.27-2.39, 1 U 2.29
Fe 0.9960 0.1179 0.3132  3 Si 2.27-2.39, 1 U 2.29
Si 0.6718 0.1150 0.5798  3 Fe 2.27-2.39
Si 0.3282 0.8850 0.4202  3 Fe 2.27-2.39
Si 0.8282 0.6150 0.9202  3 Fe 2.27-2.39
Si 0.1718 0.3850 0.0798  3 Fe 2.27-2.39
U 0.1896 0.3934 0.5800  1 Fe 2.29
U 0.3104 0.8934 0.9200  1 Fe 2.29
U 0.6896 0.1066 0.0800  1 Fe 2.29
U 0.8104 0.6066 0.4200  1 Fe 2.29

***

VASP calculation (GGA-PBE) on a relaxed structure of U2Fe3Si5.

The offset from the most stable computed form is 0.088 eV per atom. As for the crystal system: orthorhombic. The symmetry is No. 36.

Cell: 3.9956 6.3071 11.6705 Å, 90.00 99.86 90.00°
With the nearest neighbours (Å) after each atom.
Element x y z (fractional)
U 0.4759 0.7694 0.9518  1 Fe 2.33
U 0.5241 0.2694 0.0482  1 Fe 2.33
U 0.8286 0.2256 0.6573  10 Si 2.81-3.13, 4 Fe 2.91-3.09
U 0.1714 0.7256 0.3427  10 Si 2.81-3.13, 4 Fe 2.91-3.09
Si 0.2868 0.5095 0.5735  3 Fe 2.37, 1 Si 2.52
Si 0.8743 0.7581 0.7486  4 Fe 2.33-2.57
Si 0.0514 0.6001 0.1028  4 Fe 2.41-2.49
Si 0.7132 0.0095 0.4265  3 Fe 2.37, 1 Si 2.52
Si 0.6002 0.9002 0.2004  3 Fe 2.34-2.51
Si 0.9486 0.1001 0.8972  4 Fe 2.41-2.49
Si 0.2931 0.9088 0.5862  4 Fe 2.41-2.46, 1 Si 2.52
Si 0.7069 0.4088 0.4138  4 Fe 2.41-2.46, 1 Si 2.52
Si 0.1257 0.2581 0.2514  4 Fe 2.33-2.57
Si 0.3998 0.4002 0.7996  3 Fe 2.34-2.51
Fe 0.0524 0.9857 0.1047  5 Si 2.34-2.49
Fe 0.7738 0.7058 0.5477  7 Si 2.33-2.42
Fe 0.9476 0.4857 0.8953  5 Si 2.34-2.49
Fe 0.6030 0.5016 0.2060  1 U 2.33, 6 Si 2.41-2.57
Fe 0.2262 0.2058 0.4523  7 Si 2.33-2.42
Fe 0.3970 0.0016 0.7940  1 U 2.33, 6 Si 2.41-2.57

***

VASP calculation (GGA-PBE) on a relaxed structure of U2Fe2Si.

As for the crystal system: orthorhombic. The symmetry is No. 71.

Cell: 4.1870 5.3918 4.8997 Å, 123.38 115.29 90.00°
With the nearest neighbours (Å) after each atom.
Element x y z (fractional)
U 0.1931 0.6931 0.3862  2 Fe 2.53, 1 U 2.71
U 0.8069 0.3069 0.6138  2 Fe 2.53, 1 U 2.71
Fe 0.5000 0.2433 0.0000  2 Si 2.47, 2 U 2.53, 1 Fe 2.62
Fe 0.5000 0.7567 0.0000  2 Si 2.47, 2 U 2.53, 1 Fe 2.62
Si 0.0000 0.0000 0.0000  4 Fe 2.47

***

VASP calculation (GGA-PBE) on a relaxed structure of UFe4Si.

As for the crystal system: tetragonal. The symmetry is No. 141.

Cell: 4.6362 4.6362 9.1438 Å, 104.69 104.69 90.00°
With the nearest neighbours (Å) after each atom.
Element x y z (fractional)
Si 0.2500 0.7500 0.5000  4 Fe 2.32
Si 0.5000 0.5000 0.0000  4 Fe 2.32
Fe 0.6175 0.3673 0.2350  4 Fe 2.32-2.33, 1 Si 2.32, 1 U 2.54
Fe 0.1325 0.3823 0.2650  4 Fe 2.32-2.33, 1 Si 2.32, 1 U 2.54
Fe 0.6177 0.8675 0.7350  4 Fe 2.32-2.33, 1 Si 2.32, 1 U 2.54
Fe 0.6327 0.3825 0.7650  4 Fe 2.32-2.33, 1 Si 2.32, 1 U 2.54
Fe 0.1173 0.8675 0.7350  4 Fe 2.32-2.33, 1 Si 2.32, 1 U 2.54
Fe 0.1323 0.3825 0.7650  4 Fe 2.32-2.33, 1 Si 2.32, 1 U 2.54
Fe 0.6175 0.8677 0.2350  4 Fe 2.32-2.33, 1 Si 2.32, 1 U 2.54
Fe 0.1325 0.8827 0.2650  4 Fe 2.32-2.33, 1 Si 2.32, 1 U 2.54
U 0.7500 0.2500 0.5000  4 Fe 2.54
U 0.0000 0.0000 0.0000  4 Fe 2.54

***

VASP calculation (GGA-PBE) on a relaxed structure of UFeSi.

As for the crystal system: orthorhombic. The symmetry is No. 62.

Cell: 4.0253 6.3521 7.2382 Å, 90.00 90.00 90.00°
With the nearest neighbours (Å) after each atom.
Element x y z (fractional)
U 0.7500 0.1582 0.4879  4 Fe 2.70-2.95, 2 U 2.85, 5 Si 2.88-2.92
U 0.2500 0.6582 0.0121  4 Fe 2.70-2.95, 2 U 2.85, 5 Si 2.88-2.92
U 0.7500 0.3418 0.9879  4 Fe 2.70-2.95, 2 U 2.85, 5 Si 2.88-2.92
U 0.2500 0.8418 0.5121  4 Fe 2.70-2.95, 2 U 2.85, 5 Si 2.88-2.92
Si 0.7500 0.8806 0.8026  4 Fe 2.35-2.44
Si 0.7500 0.6194 0.3026  4 Fe 2.35-2.44
Si 0.2500 0.1194 0.1974  4 Fe 2.35-2.44
Si 0.2500 0.3806 0.6974  4 Fe 2.35-2.44
Fe 0.2500 0.0531 0.8747  4 Si 2.35-2.44
Fe 0.7500 0.9469 0.1253  4 Si 2.35-2.44
Fe 0.2500 0.4469 0.3747  4 Si 2.35-2.44
Fe 0.7500 0.5531 0.6253  4 Si 2.35-2.44

***

VASP calculation (GGA-PBE) on a relaxed structure of UFe2Si.

As for the crystal system: trigonal. The symmetry is No. 166.

Cell: 2.7660 2.7660 8.3548 Å, 80.47 80.47 60.00°
With the nearest neighbours (Å) after each atom.
Element x y z (fractional)
Fe 0.7380 0.7380 0.7861  3 Si 2.37
Fe 0.2620 0.2620 0.2139  3 Si 2.37
U 0.5000 0.5000 0.5000  6 U 2.77, 6 Fe 2.84
Si 0.0000 0.0000 0.0000  6 Fe 2.37

***

VASP calculation (GGA-PBE) on a relaxed structure of UFe4Si2.

As for the crystal system: orthorhombic. The symmetry is No. 62.

Cell: 3.8201 5.9617 15.7850 Å, 90.00 90.00 90.00°
With the nearest neighbours (Å) after each atom.
Element x y z (fractional)
Fe 0.7500 0.2050 0.8110  4 Si 2.30-2.33, 1 Fe 2.48
Fe 0.7500 0.7098 0.3191  3 Si 2.35-2.36, 2 Fe 2.45-2.48, 2 U 2.59
Fe 0.7500 0.2950 0.3110  4 Si 2.30-2.33, 1 Fe 2.48
Fe 0.7500 0.8501 0.4651  3 Si 2.36-2.48, 1 Fe 2.45, 2 U 2.63
Fe 0.7500 0.9940 0.0722  4 Si 2.29-2.39
Fe 0.2500 0.2098 0.1809  3 Si 2.35-2.36, 2 Fe 2.45-2.48, 2 U 2.59
Fe 0.2500 0.7050 0.6890  4 Si 2.30-2.33, 1 Fe 2.48
Fe 0.2500 0.4940 0.4278  4 Si 2.29-2.39
Fe 0.7500 0.5060 0.5722  4 Si 2.29-2.39
Fe 0.2500 0.3501 0.0349  3 Si 2.36-2.48, 1 Fe 2.45, 2 U 2.63
Fe 0.2500 0.7950 0.1890  4 Si 2.30-2.33, 1 Fe 2.48
Fe 0.2500 0.0060 0.9278  4 Si 2.29-2.39
Fe 0.2500 0.2902 0.6809  3 Si 2.35-2.36, 2 Fe 2.45-2.48, 2 U 2.59
Fe 0.2500 0.1499 0.5349  3 Si 2.36-2.48, 1 Fe 2.45, 2 U 2.63
Fe 0.7500 0.7902 0.8191  3 Si 2.35-2.36, 2 Fe 2.45-2.48, 2 U 2.59
Fe 0.7500 0.6499 0.9651  3 Si 2.36-2.48, 1 Fe 2.45, 2 U 2.63
Si 0.2500 0.4971 0.2825  7 Fe 2.29-2.36
Si 0.7500 0.5029 0.7175  7 Fe 2.29-2.36
Si 0.7500 0.2347 0.9580  7 Fe 2.30-2.48
Si 0.7500 0.9971 0.2175  7 Fe 2.29-2.36
Si 0.2500 0.0029 0.7825  7 Fe 2.29-2.36
Si 0.2500 0.7347 0.5420  7 Fe 2.30-2.48
Si 0.7500 0.2653 0.4580  7 Fe 2.30-2.48
Si 0.2500 0.7653 0.0420  7 Fe 2.30-2.48
U 0.7500 0.4807 0.1387  6 Fe 2.59-2.79
U 0.2500 0.9807 0.3613  6 Fe 2.59-2.79
U 0.2500 0.5193 0.8613  6 Fe 2.59-2.79
U 0.7500 0.0193 0.6387  6 Fe 2.59-2.79

***

VASP calculation (GGA-PBE) on a relaxed structure of U4Fe7Si6.

As for the crystal system: cubic. The symmetry is No. 229.

Cell: 6.8537 6.8537 6.8537 Å, 109.47 109.47 109.47°
With the nearest neighbours (Å) after each atom.
Element x y z (fractional)
Si 0.6768 0.0000 0.6768  5 Fe 2.42-2.56
Si 0.3232 0.0000 0.3232  5 Fe 2.42-2.56
Si 0.0000 0.6768 0.6768  5 Fe 2.42-2.56
Si 0.0000 0.3232 0.3232  5 Fe 2.42-2.56
Si 0.3232 0.3232 0.0000  5 Fe 2.42-2.56
Si 0.6768 0.6768 0.0000  5 Fe 2.42-2.56
Fe 0.7500 0.2500 0.5000  4 Si 2.42
Fe 0.5000 0.7500 0.2500  4 Si 2.42
Fe 0.2500 0.7500 0.5000  4 Si 2.42
Fe 0.2500 0.5000 0.7500  4 Si 2.42
Fe 0.5000 0.2500 0.7500  4 Si 2.42
Fe 0.7500 0.5000 0.2500  4 Si 2.42
Fe 0.0000 0.0000 0.0000  6 Si 2.56
U 0.5000 0.5000 0.5000  6 Fe 2.80, 6 Si 2.86
U 0.0000 0.5000 0.0000  6 Fe 2.80, 6 Si 2.86
U 0.5000 0.0000 0.0000  6 Fe 2.80, 6 Si 2.86
U 0.0000 0.0000 0.5000  6 Fe 2.80, 6 Si 2.86

***

VASP calculation (GGA-PBE) on a relaxed structure of U2Fe5Si2W.

As for the crystal system: tetragonal. The symmetry is No. 127.

Cell: 2.9319 9.8905 9.8905 Å, 90.00 90.00 90.00°
With the nearest neighbours (Å) after each atom.
Element x y z (fractional)
Fe 0.5000 0.2907 0.5301  2 Si 2.38, 2 W 2.55
Fe 0.5000 0.2093 0.0301  2 Si 2.38, 2 W 2.55
Fe 0.5000 0.5000 0.0000  4 Si 2.30
Fe 0.5000 0.9699 0.2093  2 Si 2.38, 2 W 2.55
Fe 0.5000 0.5301 0.7093  2 Si 2.38, 2 W 2.55
Fe 0.5000 0.7093 0.4699  2 Si 2.38, 2 W 2.55
Fe 0.5000 0.0301 0.7907  2 Si 2.38, 2 W 2.55
Fe 0.5000 0.7907 0.9699  2 Si 2.38, 2 W 2.55
Fe 0.5000 0.0000 0.5000  4 Si 2.30
Fe 0.5000 0.4699 0.2907  2 Si 2.38, 2 W 2.55
Si 0.0000 0.3730 0.1270  6 Fe 2.30-2.38
Si 0.0000 0.1270 0.6270  6 Fe 2.30-2.38
Si 0.0000 0.8730 0.3730  6 Fe 2.30-2.38
Si 0.0000 0.6270 0.8730  6 Fe 2.30-2.38
U 0.0000 0.3256 0.8256  6 Fe 2.75-2.85, 3 Si 2.78-3.02, 2 U 2.93
U 0.0000 0.1744 0.3256  6 Fe 2.75-2.85, 3 Si 2.78-3.02, 2 U 2.93
U 0.0000 0.8256 0.6744  6 Fe 2.75-2.85, 3 Si 2.78-3.02, 2 U 2.93
U 0.0000 0.6744 0.1744  6 Fe 2.75-2.85, 3 Si 2.78-3.02, 2 U 2.93
W 0.0000 0.0000 0.0000  8 Fe 2.55
W 0.0000 0.5000 0.5000  8 Fe 2.55

***

In eV/atom, the raw total energy values for the records above are, in order, -7.979; -8.703; -7.842; -8.845; -7.930; -9.341; -8.125; -8.850; -8.245; -8.345; -8.519; -8.970.
In states/eV per atom, the D(E_F) values for the records above are, in order, 0.93; 0.27; 1.35; 1.44; 0.82; 1.07; 1.34; 1.49; 1.34; 0.83; 0.81; 1.29.
In eV per formula unit, the energy relative to the elements, uncorrected values for the records above are, in order, 2.2; -1.2; -5.3; -1.4; -4.2; -1.8; 1.8; -1.4; 0.7; -2.4; -7.9; -1.0.